This record from Alexandria describes crystalline FeNi2PbO6 at its relaxed geometry. The functional is PBE with a Hubbard U.

Results
For the total magnetization, the calculation gives 8.000 μB per cell. The value obtained for the total energy is -54.16 eV for the cell shown. Its space group is R3 (146).

Cell: 5.246 5.245 5.570 Å, 61.94 61.95 59.98°
Sites, in units of the cell vectors:
O 0.644 0.222 0.251
O 0.115 0.415 0.736
Ni 0.018 0.018 0.945
O 0.883 0.645 0.251
O 0.222 0.883 0.251
Ni 0.513 0.513 0.460
O 0.415 0.734 0.736
Fe 0.812 0.811 0.565
Pb 0.305 0.305 0.084
O 0.734 0.115 0.736